Here is BaAs3Au4 after structural relaxation from the Alexandria database. Energies are from PBE-GGA.

Calculated values
ρ in g/cm³: 10.47
Formation energy from the elements in eV/atom: -0.2669
Total magnetization in μB per formula unit: 0.00

a = 4.7235 Å, b = 4.7235 Å, c = 8.1782 Å
α = 90.00°, β = 90.00°, γ = 90.00°
Space group P4/mmm (No. 123)
One atom of each set of equivalent atoms:
Ba  0.0000  0.0000  0.0000 (multiplicity 1)
As  0.0000  0.0000  0.5000 (multiplicity 1)
As  0.5000  0.5000  0.1569 (multiplicity 2)
Au  0.0000  0.5000  0.3198 (multiplicity 4)

Here is Tb2LuF after structural relaxation from the Alexandria database. Energies are from PBE-GGA.

Calculated values
ρ in g/cm³: 8.66
Total magnetization in μB per formula unit: 0.00
Raw formation energy in meV per atom: -1137

a = 3.6776 Å, b = 3.6776 Å, c = 25.1380 Å
α = 90.00°, β = 90.00°, γ = 120.00°
Space group R-3m (No. 166, hexagonal axes)
One atom of each set of equivalent atoms:
Tb  0.0000  0.0000  0.2234 (multiplicity 6)
Lu  0.0000  0.0000  0.0000 (multiplicity 3)
F  0.0000  0.0000  0.5000 (multiplicity 3)

Here is TaHRh2 after structural relaxation from the Alexandria database. Energies are from PBE-GGA.

Calculated values
E above lowest polymorph in eV/atom: 0.000
ρ in g/cm³: 12.89
Total magnetization in μB per formula unit: 0.00

a = 6.2206 Å, b = 6.2206 Å, c = 5.1630 Å
α = 90.00°, β = 90.00°, γ = 90.00°
Space group I-42d (No. 122)
One atom of each set of equivalent atoms:
Ta  0.0000  0.0000  0.0000 (multiplicity 4)
H  0.0000  0.0000  0.5000 (multiplicity 4)
Rh  0.1544  0.2500  0.6250 (multiplicity 8)

Here is BaNaGa2Au2 after structural relaxation from the Alexandria database. Energies are from PBE-GGA.

Calculated values
ρ in g/cm³: 7.91
Formation energy from the elements in eV/atom: -0.4953
Total magnetization in μB per formula unit: 0.00

a = 4.6956 Å, b = 4.6956 Å, c = 7.6255 Å
α = 90.00°, β = 90.00°, γ = 120.00°
Space group P-3m1 (No. 164)
One atom of each set of equivalent atoms:
Ba  0.0000  0.0000  0.0000 (multiplicity 1)
Na  0.0000  0.0000  0.5000 (multiplicity 1)
Ga  0.3333  0.6667  0.3203 (multiplicity 2)
Au  0.3333  0.6667  0.6873 (multiplicity 2)

Here is KHfIn after structural relaxation from the Alexandria database. Energies are from PBE-GGA.

Calculated values
E above lowest polymorph in eV/atom: 0.631
ρ in g/cm³: 6.52
Formation energy from the elements in eV/atom: 0.6406
Total magnetization in μB per formula unit: 0.00

a = 5.5252 Å, b = 5.5252 Å, c = 3.2007 Å
α = 90.00°, β = 90.00°, γ = 120.00°
Space group P-6m2 (No. 187)
One atom of each set of equivalent atoms:
K  0.0000  0.0000  0.0000 (multiplicity 1)
Hf  0.6667  0.3333  0.5000 (multiplicity 1)
In  0.3333  0.6667  0.5000 (multiplicity 1)

Here is SbMoS2 after structural relaxation from the Alexandria database. Energies are from PBE-GGA.

Calculated values
ρ in g/cm³: 4.78
Total magnetization in μB per formula unit: 0.00
Raw formation energy in meV per atom: 152

a = 6.1992 Å, b = 6.1992 Å, c = 10.1839 Å
α = 90.00°, β = 90.00°, γ = 90.00°
Space group I-42d (No. 122)
One atom of each set of equivalent atoms:
Sb  0.0000  0.0000  0.0000 (multiplicity 4)
Mo  0.0000  0.0000  0.5000 (multiplicity 4)
S  0.1778  0.2500  0.6250 (multiplicity 8)

Here is Ho2CdAu4 after structural relaxation from the Alexandria database. Energies are from PBE-GGA.

Calculated values
ρ in g/cm³: 12.52
Formation energy from the elements in eV/atom: -0.5852
Total magnetization in μB per formula unit: 0.00

a = 4.8701 Å, b = 4.8701 Å, c = 23.8298 Å
α = 90.00°, β = 90.00°, γ = 120.00°
Space group R-3m (No. 166, hexagonal axes)
One atom of each set of equivalent atoms:
Ho  0.0000  0.0000  0.2485 (multiplicity 6)
Cd  0.0000  0.0000  0.0000 (multiplicity 3)
Au  0.0000  0.0000  0.1265 (multiplicity 6)
Au  0.0000  0.0000  0.3754 (multiplicity 6)

Here is NaYHf after structural relaxation from the Alexandria database. Energies are from PBE-GGA.

Calculated values
E above lowest polymorph in eV/atom: 0.136
ρ in g/cm³: 5.50
Formation energy from the elements in eV/atom: 0.2552
Total magnetization in μB per formula unit: 0.00

a = 3.3171 Å, b = 4.7070 Å, c = 11.3473 Å
α = 90.00°, β = 98.39°, γ = 90.00°
Space group P1 (No. 1)
One atom of each set of equivalent atoms:
Na  0.0000  0.0000  0.0000 (multiplicity 1)
Na  0.4064  0.4999  0.8256 (multiplicity 1)
Y  0.5999  0.4989  0.2007 (multiplicity 1)
Y  0.8125  0.9989  0.6374 (multiplicity 1)
Hf  0.1825  0.9988  0.3686 (multiplicity 1)
Hf  0.7332  0.4988  0.4686 (multiplicity 1)

Here is Pr2CuSi2 after structural relaxation from the Alexandria database. Energies are from PBE-GGA.

Calculated values
ρ in g/cm³: 5.99
Total magnetization in μB per formula unit: 0.00
Raw formation energy in meV per atom: -637

a = 11.0367 Å, b = 4.2333 Å, c = 10.7697 Å
α = 90.00°, β = 117.72°, γ = 90.00°
Space group C2/m (No. 12)
One atom of each set of equivalent atoms:
Pr  0.1084  0.0000  0.4055 (multiplicity 4)
Pr  0.2121  0.5000  0.1484 (multiplicity 4)
Cu  0.0585  0.5000  0.8154 (multiplicity 4)
Si  0.0351  0.0000  0.9106 (multiplicity 4)
Si  0.1072  0.5000  0.6130 (multiplicity 4)

Here is Y2AlB2 after structural relaxation from the Alexandria database. Energies are from PBE-GGA.

Calculated values
E above lowest polymorph in eV/atom: 0.000
ρ in g/cm³: 4.54
Formation energy from the elements in eV/atom: -0.3477
Total magnetization in μB per formula unit: 0.00

a = 6.5356 Å, b = 6.5356 Å, c = 3.8758 Å
α = 90.00°, β = 90.00°, γ = 90.00°
Space group P4/mbm (No. 127)
One atom of each set of equivalent atoms:
Y  0.1815  0.3185  0.0000 (multiplicity 4)
Al  0.0000  0.0000  0.5000 (multiplicity 2)
B  0.0925  0.5925  0.5000 (multiplicity 4)

Here is AcSmY5 after structural relaxation from the Alexandria database. Energies are from PBE-GGA.

Calculated values
ρ in g/cm³: 5.46
Formation energy from the elements in eV/atom: 0.1990
Total magnetization in μB per formula unit: 0.00

a = 11.2969 Å, b = 13.2082 Å, c = 7.0865 Å
α = 90.00°, β = 109.05°, γ = 90.00°
Space group C2/c (No. 15)
One atom of each set of equivalent atoms:
Ac  0.0000  0.1540  0.2500 (multiplicity 4)
Sm  0.2500  0.2500  0.0000 (multiplicity 4)
Y  0.0000  0.1112  0.7500 (multiplicity 4)
Y  0.0256  0.3721  0.5321 (multiplicity 8)
Y  0.2444  0.4785  0.3602 (multiplicity 8)

Here is Na3Cd2Au after structural relaxation from the Alexandria database. Energies are from PBE-GGA.

Calculated values
E above lowest polymorph in eV/atom: 0.053
ρ in g/cm³: 5.05
Formation energy from the elements in eV/atom: -0.1131
Total magnetization in μB per formula unit: 0.00

a = 6.1875 Å, b = 16.8223 Å, c = 6.2010 Å
α = 90.00°, β = 90.00°, γ = 90.00°
Space group Ibam (No. 72)
One atom of each set of equivalent atoms:
Na  0.0000  0.0000  0.2500 (multiplicity 4)
Na  0.1879  0.1826  0.0000 (multiplicity 8)
Cd  0.1788  0.3748  0.0000 (multiplicity 8)
Au  0.0000  0.5000  0.2500 (multiplicity 4)

Here is NaCdInHg4 after structural relaxation from the Alexandria database. Energies are from PBE-GGA.

Calculated values
ρ in g/cm³: 7.77
Formation energy from the elements in eV/atom: 0.0060
Total magnetization in μB per formula unit: 0.00

a = 6.3555 Å, b = 16.2178 Å, c = 8.7305 Å
α = 90.00°, β = 90.00°, γ = 90.00°
Space group Cmcm (No. 63)
One atom of each set of equivalent atoms:
Na  0.0000  0.1089  0.2500 (multiplicity 4)
Cd  0.0000  0.3188  0.7500 (multiplicity 4)
In  0.0000  0.3292  0.2500 (multiplicity 4)
Hg  0.0000  0.0871  0.7500 (multiplicity 4)
Hg  0.0000  0.4937  0.7500 (multiplicity 4)
Hg  0.2500  0.2500  0.0000 (multiplicity 8)

Here is Hf8Ga3Sn2 after structural relaxation from the Alexandria database. Energies are from PBE-GGA.

Calculated values
ρ in g/cm³: 11.35
Formation energy from the elements in eV/atom: -0.1522
Total magnetization in μB per formula unit: 0.00

a = 16.3013 Å, b = 6.5104 Å, c = 5.1736 Å
α = 90.00°, β = 92.98°, γ = 90.00°
Space group C2/m (No. 12)
One atom of each set of equivalent atoms:
Hf  0.0454  0.0000  0.2676 (multiplicity 4)
Hf  0.1400  0.2271  0.7339 (multiplicity 8)
Hf  0.1643  0.5000  0.2406 (multiplicity 4)
Ga  0.0000  0.3254  0.0000 (multiplicity 4)
Ga  0.0000  0.5000  0.5000 (multiplicity 2)
Sn  0.2165  0.0000  0.2392 (multiplicity 4)

Here is ErLu2Sb after structural relaxation from the Alexandria database. Energies are from PBE-GGA.

Calculated values
E above lowest polymorph in eV/atom: 0.017
ρ in g/cm³: 10.16
Total magnetization in μB per formula unit: 0.00
Raw formation energy in meV per atom: -415

a = 4.7064 Å, b = 4.7064 Å, c = 4.7138 Å
α = 90.00°, β = 90.00°, γ = 90.00°
Space group P4/mmm (No. 123)
One atom of each set of equivalent atoms:
Er  0.0000  0.0000  0.0000 (multiplicity 1)
Lu  0.0000  0.5000  0.5000 (multiplicity 2)
Sb  0.5000  0.5000  0.0000 (multiplicity 1)

Here is Hg2Te3 after structural relaxation from the Alexandria database. Energies are from PBE-GGA.

Calculated values
E above lowest polymorph in eV/atom: 0.000
ρ in g/cm³: 8.46
Total magnetization in μB per formula unit: 0.00
Raw formation energy in meV per atom: 58

a = 11.9051 Å, b = 14.7751 Å, c = 6.9981 Å
α = 90.00°, β = 90.00°, γ = 90.00°
Space group Fdd2 (No. 43)
One atom of each set of equivalent atoms:
Hg  0.1092  0.1909  0.0000 (multiplicity 16)
Te  0.0000  0.0000  0.1015 (multiplicity 8)
Te  0.0517  0.1685  0.5822 (multiplicity 16)

Here is Re2SbOs after structural relaxation from the Alexandria database. Energies are from PBE-GGA.

Calculated values
ρ in g/cm³: 17.55
Total magnetization in μB per formula unit: 0.00
Raw formation energy in meV per atom: 787

a = 3.8807 Å, b = 3.8807 Å, c = 4.2999 Å
α = 90.00°, β = 90.00°, γ = 90.00°
Space group P4/mmm (No. 123)
One atom of each set of equivalent atoms:
Re  0.0000  0.5000  0.0000 (multiplicity 2)
Sb  0.0000  0.0000  0.5000 (multiplicity 1)
Os  0.5000  0.5000  0.5000 (multiplicity 1)

Here is KZrCr2Fe after structural relaxation from the Alexandria database. Energies are from PBE-GGA.

Calculated values
ρ in g/cm³: 4.35
Formation energy from the elements in eV/atom: 0.9609
Total magnetization in μB per formula unit: 6.34

a = 4.8200 Å, b = 4.8200 Å, c = 4.7650 Å
α = 90.00°, β = 90.00°, γ = 90.00°
Space group P4/mmm (No. 123)
One atom of each set of equivalent atoms:
K  0.0000  0.0000  0.0000 (multiplicity 1)
Zr  0.5000  0.5000  0.0000 (multiplicity 1)
Cr  0.0000  0.5000  0.5000 (multiplicity 2)
Fe  0.5000  0.5000  0.5000 (multiplicity 1)

Here is TmCd7Hg12 after structural relaxation from the Alexandria database. Energies are from PBE-GGA.

Calculated values
E above lowest polymorph in eV/atom: 0.000
ρ in g/cm³: 10.79
Formation energy from the elements in eV/atom: -0.0278
Total magnetization in μB per formula unit: 0.00

a = 13.1071 Å, b = 13.1071 Å, c = 10.4361 Å
α = 90.00°, β = 90.00°, γ = 120.00°
Space group R-3 (No. 148, hexagonal axes)
One atom of each set of equivalent atoms:
Tm  0.0000  0.0000  0.0000 (multiplicity 3)
Cd  0.0000  0.0000  0.5000 (multiplicity 3)
Cd  0.0114  0.1476  0.7494 (multiplicity 18)
Hg  0.0482  0.2537  0.4275 (multiplicity 18)
Hg  0.0550  0.7967  0.9643 (multiplicity 18)

Here is CaAl3Ir after structural relaxation from the Alexandria database. Energies are from PBE-GGA.

Calculated values
E above lowest polymorph in eV/atom: 0.107
ρ in g/cm³: 4.79
Formation energy from the elements in eV/atom: -0.3712
Total magnetization in μB per formula unit: 0.00

a = 4.7722 Å, b = 4.7722 Å, c = 4.7722 Å
α = 90.00°, β = 90.00°, γ = 90.00°
Space group Pm-3m (No. 221)
One atom of each set of equivalent atoms:
Ca  0.0000  0.0000  0.0000 (multiplicity 1)
Al  0.0000  0.5000  0.5000 (multiplicity 3)
Ir  0.5000  0.5000  0.5000 (multiplicity 1)

Here is LiTa2Rh after structural relaxation from the Alexandria database. Energies are from PBE-GGA.

Calculated values
ρ in g/cm³: 11.54
Formation energy from the elements in eV/atom: 0.0855
Total magnetization in μB per formula unit: 0.00

a = 2.8413 Å, b = 2.8413 Å, c = 29.1265 Å
α = 90.00°, β = 90.00°, γ = 120.00°
Space group R-3m (No. 166, hexagonal axes)
One atom of each set of equivalent atoms:
Li  0.0000  0.0000  0.0000 (multiplicity 3)
Ta  0.0000  0.0000  0.2444 (multiplicity 6)
Rh  0.0000  0.0000  0.5000 (multiplicity 3)

Here is TbICl2 after structural relaxation from the Alexandria database. Energies are from PBE-GGA.

Calculated values
ρ in g/cm³: 3.86
Total magnetization in μB per formula unit: 0.00
Raw formation energy in meV per atom: -1965

a = 8.3239 Å, b = 11.7425 Å, c = 7.3972 Å
α = 90.00°, β = 121.80°, γ = 90.00°
Space group Cc (No. 9)
One atom of each set of equivalent atoms:
Tb  0.0000  0.0927  0.0000 (multiplicity 4)
I  0.2400  0.1002  0.7991 (multiplicity 4)
Cl  0.2372  0.2503  0.2692 (multiplicity 4)
Cl  0.3057  0.4420  0.6907 (multiplicity 4)

Here is Mg2ZnNiH after structural relaxation from the Alexandria database. Energies are from PBE-GGA.

Calculated values
E above lowest polymorph in eV/atom: 0.000
ρ in g/cm³: 4.41
Total magnetization in μB per formula unit: 0.00

a = 4.3971 Å, b = 4.3971 Å, c = 3.3860 Å
α = 90.00°, β = 90.00°, γ = 90.00°
Space group P4/mmm (No. 123)
One atom of each set of equivalent atoms:
Mg  0.0000  0.5000  0.0000 (multiplicity 2)
Zn  0.0000  0.0000  0.5000 (multiplicity 1)
Ni  0.5000  0.5000  0.5000 (multiplicity 1)
H  0.5000  0.5000  0.0000 (multiplicity 1)

Here is YLuAgPt after structural relaxation from the Alexandria database. Energies are from PBE-GGA.

Calculated values
ρ in g/cm³: 10.79
Formation energy from the elements in eV/atom: -0.8098
Total magnetization in μB per formula unit: 0.00

a = 7.0396 Å, b = 7.0396 Å, c = 7.0396 Å
α = 90.00°, β = 90.00°, γ = 90.00°
Space group F-43m (No. 216)
One atom of each set of equivalent atoms:
Y  0.0000  0.0000  0.0000 (multiplicity 4)
Lu  0.0000  0.0000  0.5000 (multiplicity 4)
Ag  0.2500  0.2500  0.7500 (multiplicity 4)
Pt  0.2500  0.2500  0.2500 (multiplicity 4)

Here is GaTePO2 after structural relaxation from the Alexandria database. Energies are from PBE-GGA.

Calculated values
E above lowest polymorph in eV/atom: 0.000
ρ in g/cm³: 5.04
Total magnetization in μB per formula unit: 0.00
Raw formation energy in meV per atom: -237

a = 3.9919 Å, b = 3.9919 Å, c = 5.3820 Å
α = 90.00°, β = 90.00°, γ = 90.00°
Space group P4/mmm (No. 123)
One atom of each set of equivalent atoms:
Ga  0.0000  0.0000  0.0000 (multiplicity 1)
Te  0.5000  0.5000  0.5000 (multiplicity 1)
P  0.5000  0.5000  0.0000 (multiplicity 1)
O  0.0000  0.5000  0.5000 (multiplicity 2)